## HoHf2Co (PBE-GGA)

Data for crystalline HoHf2Co at its relaxed geometry.

Unit cell a=3.4861 b=3.4861 c=8.7447 alpha=78.50 beta=78.50 gamma=60.00
Closest atoms and distances in Å follow each position.
Atoms (fractional coordinates):
Ho 0.5027 0.5027 0.4918  6 Hf 3.34-3.48, 6 Ho 3.49
Hf 0.0583 0.0583 0.8252  3 Co 2.53
Hf 0.2738 0.2738 0.1786  3 Co 2.50
Co 0.6652 0.6652 0.0044  6 Hf 2.50-2.53

Values from the calculation:
DFT formation energy = 0.046 eV per atom
theoretical density = 10.8 g cm⁻³
volume = 90 Å³/f.u.

## HoHfCoIr (PBE-GGA)

Data for crystalline HoHfCoIr at its relaxed geometry.

Unit cell a=4.6725 b=4.6725 c=4.6725 alpha=60.00 beta=60.00 gamma=60.00
Closest atoms and distances in Å follow each position.
Atoms (fractional coordinates):
Co 0.7500 0.7500 0.7500  4 Ho 2.86, 4 Hf 2.86
Ir 0.2500 0.2500 0.2500  4 Hf 2.86, 4 Ho 2.86
Hf 0.0000 0.0000 0.0000  4 Co 2.86, 4 Ir 2.86
Ho 0.5000 0.5000 0.5000  4 Ir 2.86, 4 Co 2.86

Values from the calculation:
DFT formation energy = -0.571 eV per atom
theoretical density = 13.7 g cm⁻³
volume = 72 Å³/f.u.

## LiHoHfCo (PBE-GGA)

Data for crystalline LiHoHfCo at its relaxed geometry.

Unit cell a=4.6695 b=4.6695 c=4.6695 alpha=60.00 beta=60.00 gamma=60.00
Closest atoms and distances in Å follow each position.
Atoms (fractional coordinates):
Co 0.5000 0.5000 0.5000  4 Hf 2.86, 4 Ho 2.86
Hf 0.2500 0.2500 0.2500  4 Li 2.86, 4 Co 2.86
Ho 0.7500 0.7500 0.7500  4 Li 2.86, 4 Co 2.86
Li 0.0000 0.0000 0.0000  4 Ho 2.86, 4 Hf 2.86

Values from the calculation:
DFT formation energy = -0.026 eV per atom
theoretical density = 9.4 g cm⁻³
volume = 72 Å³/f.u.

## HoHfCoNi (PBE-GGA)

Data for crystalline HoHfCoNi at its relaxed geometry.

Unit cell a=4.5946 b=4.5946 c=4.5946 alpha=60.00 beta=60.00 gamma=60.00
Closest atoms and distances in Å follow each position.
Atoms (fractional coordinates):
Ni 0.2500 0.2500 0.2500  4 Hf 2.81, 4 Ho 2.81
Hf 0.5000 0.5000 0.5000  4 Ni 2.81, 4 Co 2.81
Ho 0.0000 0.0000 0.0000  4 Ni 2.81, 4 Co 2.81
Co 0.7500 0.7500 0.7500  4 Ho 2.81, 4 Hf 2.81

Values from the calculation:
DFT formation energy = -0.298 eV per atom
theoretical density = 11.2 g cm⁻³
volume = 69 Å³/f.u.

## HoHfCoOs (PBE-GGA)

Data for crystalline HoHfCoOs at its relaxed geometry.

Unit cell a=4.6439 b=4.6439 c=4.6439 alpha=60.00 beta=60.00 gamma=60.00
Closest atoms and distances in Å follow each position.
Atoms (fractional coordinates):
Hf 0.7500 0.7500 0.7500  4 Co 2.84, 4 Os 2.84
Os 0.5000 0.5000 0.5000  4 Hf 2.84, 4 Ho 2.84
Ho 0.2500 0.2500 0.2500  4 Os 2.84, 4 Co 2.84
Co 0.0000 0.0000 0.0000  4 Ho 2.84, 4 Hf 2.84

Values from the calculation:
DFT formation energy = -0.344 eV per atom
theoretical density = 13.9 g cm⁻³
volume = 71 Å³/f.u.

## HoHfCoPd (PBE-GGA)

Data for crystalline HoHfCoPd at its relaxed geometry.

Unit cell a=4.7061 b=4.7061 c=4.7061 alpha=60.00 beta=60.00 gamma=60.00
Closest atoms and distances in Å follow each position.
Atoms (fractional coordinates):
Co 0.2500 0.2500 0.2500  4 Hf 2.88, 4 Ho 2.88
Hf 0.5000 0.5000 0.5000  4 Pd 2.88, 4 Co 2.88
Ho 0.0000 0.0000 0.0000  4 Pd 2.88, 4 Co 2.88
Pd 0.7500 0.7500 0.7500  4 Hf 2.88, 4 Ho 2.88

Values from the calculation:
DFT formation energy = -0.444 eV per atom
theoretical density = 11.5 g cm⁻³
volume = 74 Å³/f.u.

## HoHfCoPt (PBE-GGA)

Data for crystalline HoHfCoPt at its relaxed geometry.

Unit cell a=4.7093 b=4.7093 c=4.7093 alpha=60.00 beta=60.00 gamma=60.00
Closest atoms and distances in Å follow each position.
Atoms (fractional coordinates):
Co 0.7500 0.7500 0.7500  4 Hf 2.88, 4 Ho 2.88
Hf 0.5000 0.5000 0.5000  4 Co 2.88, 4 Pt 2.88
Ho 0.0000 0.0000 0.0000  4 Co 2.88, 4 Pt 2.88
Pt 0.2500 0.2500 0.2500  4 Hf 2.88, 4 Ho 2.88

Values from the calculation:
DFT formation energy = -0.626 eV per atom
theoretical density = 13.4 g cm⁻³
volume = 74 Å³/f.u.

## HoHfCoRh (PBE-GGA)

Data for crystalline HoHfCoRh at its relaxed geometry.

Unit cell a=4.6517 b=4.6517 c=4.6517 alpha=60.00 beta=60.00 gamma=60.00
Closest atoms and distances in Å follow each position.
Atoms (fractional coordinates):
Rh 0.7500 0.7500 0.7500  4 Ho 2.85, 4 Hf 2.85
Hf 0.0000 0.0000 0.0000  4 Rh 2.85, 4 Co 2.85
Ho 0.5000 0.5000 0.5000  4 Co 2.85, 4 Rh 2.85
Co 0.2500 0.2500 0.2500  4 Hf 2.85, 4 Ho 2.85

Values from the calculation:
DFT formation energy = -0.530 eV per atom
theoretical density = 11.8 g cm⁻³
volume = 71 Å³/f.u.

## HoHfCoRu (PBE-GGA)

Data for crystalline HoHfCoRu at its relaxed geometry.

Unit cell a=4.6320 b=4.6320 c=4.6320 alpha=60.00 beta=60.00 gamma=60.00
Closest atoms and distances in Å follow each position.
Atoms (fractional coordinates):
Ru 0.7500 0.7500 0.7500  4 Ho 2.84, 4 Hf 2.84
Hf 0.0000 0.0000 0.0000  4 Co 2.84, 4 Ru 2.84
Ho 0.5000 0.5000 0.5000  4 Co 2.84, 4 Ru 2.84
Co 0.2500 0.2500 0.2500  4 Hf 2.84, 4 Ho 2.84

Values from the calculation:
DFT formation energy = -0.409 eV per atom
theoretical density = 11.9 g cm⁻³
volume = 70 Å³/f.u.

## HoHfCoTc (PBE-GGA)

Data for crystalline HoHfCoTc at its relaxed geometry.

Unit cell a=4.6373 b=4.6373 c=4.6373 alpha=60.00 beta=60.00 gamma=60.00
Closest atoms and distances in Å follow each position.
Atoms (fractional coordinates):
Co 0.7500 0.7500 0.7500  4 Hf 2.84, 4 Ho 2.84
Hf 0.0000 0.0000 0.0000  4 Co 2.84, 4 Tc 2.84
Ho 0.5000 0.5000 0.5000  4 Tc 2.84, 4 Co 2.84
Tc 0.2500 0.2500 0.2500  4 Hf 2.84, 4 Ho 2.84

Values from the calculation:
DFT formation energy = -0.220 eV per atom
theoretical density = 11.8 g cm⁻³
volume = 71 Å³/f.u.

## HfCoI2 (PBE-GGA)

Data for crystalline HfCoI2 at its relaxed geometry.

Unit cell a=6.2951 b=6.2951 c=7.1084 alpha=63.72 beta=63.72 gamma=90.00
Closest atoms and distances in Å follow each position.
Atoms (fractional coordinates):
I 0.5779 0.1250 0.2500  2 Co 2.46
I 0.1721 0.6250 0.2500  2 Co 2.46
I 0.3750 0.4221 0.7500  2 Co 2.46
I 0.8750 0.8279 0.7500  2 Co 2.46
Co 0.5000 0.5000 0.0000  4 I 2.46
Co 0.2500 0.7500 0.5000  4 I 2.46
Hf 0.0000 0.0000 0.0000  4 I 2.81
Hf 0.7500 0.2500 0.5000  4 I 2.81

Values from the calculation:
formation energy without anion corrections = 0.56 eV per atom
theoretical density = 7.4 g cm⁻³
volume = 110 Å³/f.u.

## Hf2Co2I (PBE-GGA)

Data for crystalline Hf2Co2I at its relaxed geometry.

Unit cell a=4.3435 b=4.3435 c=6.0439 alpha=68.94 beta=68.94 gamma=90.00
Closest atoms and distances in Å follow each position.
Atoms (fractional coordinates):
I 0.0000 0.0000 0.0000  8 Co 3.30, 8 Hf 3.39
Co 0.3843 0.3843 0.2313  1 Co 2.41, 4 Hf 2.58
Co 0.6157 0.6157 0.7687  1 Co 2.41, 4 Hf 2.58
Hf 0.7500 0.2500 0.5000  4 Co 2.58
Hf 0.2500 0.7500 0.5000  4 Co 2.58

Values from the calculation:
formation energy without anion corrections = 0.14 eV per atom
theoretical density = 10.2 g cm⁻³
volume = 98 Å³/f.u.

## HfCoI2 (PBE-GGA)

Data for crystalline HfCoI2 at its relaxed geometry.

Unit cell a=4.9515 b=4.9515 c=4.9515 alpha=60.00 beta=60.00 gamma=60.00
Closest atoms and distances in Å follow each position.
Atoms (fractional coordinates):
I 0.2500 0.2500 0.2500  4 Co 3.03, 4 Hf 3.03
I 0.7500 0.7500 0.7500  4 Hf 3.03, 4 Co 3.03
Co 0.0000 0.0000 0.0000  8 I 3.03
Hf 0.5000 0.5000 0.5000  8 I 3.03

Values from the calculation:
formation energy without anion corrections = 0.54 eV per atom
theoretical density = 9.5 g cm⁻³
volume = 86 Å³/f.u.

## HfCo3I (PBE-GGA)

Data for crystalline HfCo3I at its relaxed geometry.

Unit cell a=4.6991 b=4.6991 c=4.6991 alpha=90.00 beta=90.00 gamma=90.00
Closest atoms and distances in Å follow each position.
Atoms (fractional coordinates):
I 0.5000 0.5000 0.5000  12 Co 3.32
Co 0.0000 0.5000 0.0000  2 Hf 2.35
Co 0.0000 0.0000 0.5000  2 Hf 2.35
Co 0.5000 0.0000 0.0000  2 Hf 2.35
Hf 0.0000 0.0000 0.0000  6 Co 2.35

Values from the calculation:
formation energy without anion corrections = 1.41 eV per atom
theoretical density = 7.7 g cm⁻³
volume = 104 Å³/f.u.

## Hf3CoI (PBE-GGA)

Data for crystalline Hf3CoI at its relaxed geometry.

Unit cell a=4.8698 b=4.8698 c=4.8698 alpha=90.00 beta=90.00 gamma=90.00
Closest atoms and distances in Å follow each position.
Atoms (fractional coordinates):
I 0.5000 0.5000 0.5000  12 Hf 3.44
Co 0.0000 0.0000 0.0000  6 Hf 2.43
Hf 0.0000 0.5000 0.0000  2 Co 2.43
Hf 0.0000 0.0000 0.5000  2 Co 2.43
Hf 0.5000 0.0000 0.0000  2 Co 2.43

Values from the calculation:
formation energy without anion corrections = 0.25 eV per atom
theoretical density = 10.4 g cm⁻³
volume = 115 Å³/f.u.

## HfCo3I (PBE-GGA)

Data for crystalline HfCo3I at its relaxed geometry.

Unit cell a=4.5018 b=4.5018 c=4.5018 alpha=90.00 beta=90.00 gamma=90.00
Closest atoms and distances in Å follow each position.
Atoms (fractional coordinates):
I 0.0000 0.0000 0.0000  6 Co 2.25
Co 0.0000 0.5000 0.0000  2 I 2.25
Co 0.0000 0.0000 0.5000  2 I 2.25
Co 0.5000 0.0000 0.0000  2 I 2.25
Hf 0.5000 0.5000 0.5000  12 Co 3.18

Values from the calculation:
formation energy without anion corrections = 1.20 eV per atom
theoretical density = 8.8 g cm⁻³
volume = 91 Å³/f.u.

## Hf2CoI (PBE-GGA)

Data for crystalline Hf2CoI at its relaxed geometry.

Unit cell a=6.0990 b=6.0990 c=7.3929 alpha=65.64 beta=65.64 gamma=90.00
Closest atoms and distances in Å follow each position.
Atoms (fractional coordinates):
I 0.0000 0.0000 0.0000  4 Hf 2.98
I 0.7500 0.2500 0.5000  4 Hf 2.98
Co 0.5000 0.5000 0.0000  4 Hf 2.35
Co 0.2500 0.7500 0.5000  4 Hf 2.35
Hf 0.5338 0.1250 0.2500  2 Co 2.35
Hf 0.2162 0.6250 0.2500  2 Co 2.35
Hf 0.3750 0.4662 0.7500  2 Co 2.35
Hf 0.8750 0.7838 0.7500  2 Co 2.35

Values from the calculation:
formation energy without anion corrections = 0.50 eV per atom
theoretical density = 8.1 g cm⁻³
volume = 112 Å³/f.u.

## Hf2Co2I (PBE-GGA)

Data for crystalline Hf2Co2I at its relaxed geometry.

Unit cell a=7.2546 b=7.2546 c=3.3431 alpha=90.00 beta=90.00 gamma=90.00
Closest atoms and distances in Å follow each position.
Atoms (fractional coordinates):
I 0.0000 0.0000 0.0000  4 Co 2.85
I 0.5000 0.5000 0.0000  4 Co 2.85
Co 0.3721 0.8721 0.0000  1 Co 2.62, 6 Hf 2.65-2.79, 2 I 2.85
Co 0.8721 0.6279 0.0000  1 Co 2.62, 6 Hf 2.65-2.79, 2 I 2.85
Co 0.6279 0.1279 0.0000  1 Co 2.62, 6 Hf 2.65-2.79, 2 I 2.85
Co 0.1279 0.3721 0.0000  1 Co 2.62, 6 Hf 2.65-2.79, 2 I 2.85
Hf 0.1540 0.6540 0.5000  6 Co 2.65-2.79
Hf 0.6540 0.8460 0.5000  6 Co 2.65-2.79
Hf 0.8460 0.3460 0.5000  6 Co 2.65-2.79
Hf 0.3460 0.1540 0.5000  6 Co 2.65-2.79

Values from the calculation:
formation energy without anion corrections = -0.06 eV per atom
theoretical density = 11.4 g cm⁻³
volume = 88 Å³/f.u.

## HfCo2I (PBE-GGA)

Data for crystalline HfCo2I at its relaxed geometry.

Unit cell a=5.5228 b=5.5228 c=7.0204 alpha=66.84 beta=66.84 gamma=90.00
Closest atoms and distances in Å follow each position.
Atoms (fractional coordinates):
I 0.5000 0.5000 0.0000  4 Co 2.42
I 0.2500 0.7500 0.5000  4 Co 2.42
Co 0.6193 0.1250 0.2500  2 I 2.42, 2 Hf 2.46
Co 0.1307 0.6250 0.2500  2 I 2.42, 2 Hf 2.46
Co 0.3750 0.3807 0.7500  2 I 2.42, 2 Hf 2.46
Co 0.8750 0.8693 0.7500  2 I 2.42, 2 Hf 2.46
Hf 0.0000 0.0000 0.0000  4 Co 2.46
Hf 0.7500 0.2500 0.5000  4 Co 2.46

Values from the calculation:
formation energy without anion corrections = 0.70 eV per atom
theoretical density = 7.9 g cm⁻³
volume = 89 Å³/f.u.

## Hf2CoI (PBE-GGA)

Data for crystalline Hf2CoI at its relaxed geometry.

Unit cell a=4.8025 b=4.8025 c=4.8025 alpha=60.00 beta=60.00 gamma=60.00
Closest atoms and distances in Å follow each position.
Atoms (fractional coordinates):
I 0.5000 0.5000 0.5000  8 Hf 2.94
Co 0.0000 0.0000 0.0000  8 Hf 2.94
Hf 0.2500 0.2500 0.2500  4 Co 2.94, 4 I 2.94
Hf 0.7500 0.7500 0.7500  4 Co 2.94, 4 I 2.94

Values from the calculation:
formation energy without anion corrections = 0.37 eV per atom
theoretical density = 11.5 g cm⁻³
volume = 78 Å³/f.u.

## HfCo2I (PBE-GGA)

Data for crystalline HfCo2I at its relaxed geometry.

Unit cell a=4.5068 b=4.5068 c=4.5068 alpha=60.00 beta=60.00 gamma=60.00
Closest atoms and distances in Å follow each position.
Atoms (fractional coordinates):
I 0.0000 0.0000 0.0000  8 Co 2.76
Co 0.2500 0.2500 0.2500  4 Hf 2.76, 4 I 2.76
Co 0.7500 0.7500 0.7500  4 Hf 2.76, 4 I 2.76
Hf 0.5000 0.5000 0.5000  8 Co 2.76

Values from the calculation:
formation energy without anion corrections = 0.51 eV per atom
theoretical density = 10.9 g cm⁻³
volume = 65 Å³/f.u.

## HfCoI2N (PBE-GGA)

Data for crystalline HfCoI2N at its relaxed geometry.

Unit cell a=5.8515 b=5.8515 c=3.9505 alpha=90.00 beta=90.00 gamma=90.00
Closest atoms and distances in Å follow each position.
Atoms (fractional coordinates):
I 0.0000 0.5000 0.0000  2 Hf 2.93
I 0.5000 0.0000 0.0000  2 Hf 2.93
Co 0.5000 0.5000 0.5000  8 I 3.53, 2 Co 3.95
Hf 0.0000 0.0000 0.0000  2 N 1.98
N 0.0000 0.0000 0.5000  2 Hf 1.98

Values from the calculation:
formation energy without anion corrections = 0.43 eV per atom
theoretical density = 6.2 g cm⁻³
volume = 135 Å³/f.u.

## HfCoI2N (PBE-GGA)

Data for crystalline HfCoI2N at its relaxed geometry.

Unit cell a=5.4332 b=5.4332 c=3.4685 alpha=90.00 beta=90.00 gamma=90.00
Closest atoms and distances in Å follow each position.
Atoms (fractional coordinates):
I 0.0000 0.5000 0.0000  2 Co 2.72
I 0.5000 0.0000 0.0000  2 Co 2.72
Co 0.0000 0.0000 0.0000  2 N 1.73
Hf 0.5000 0.5000 0.5000  8 I 3.22, 2 Hf 3.47
N 0.0000 0.0000 0.5000  2 Co 1.73

Values from the calculation:
formation energy without anion corrections = 0.56 eV per atom
theoretical density = 8.2 g cm⁻³
volume = 102 Å³/f.u.